[1]
Computed, not measured: an optimized crystal structure of Pa2CoS4 at the GGA-PBE level of DFT.

Formation energy from raw total energies in kJ per mole of atoms: -133.9
D(E_F) in states/eV/cell: 9.9
Raw total energy in eV per formula unit: -52.32

a = 6.2789 Å, b = 5.7977 Å, c = 7.4390 Å
α = 90.00°, β = 107.18°, γ = 90.00°
Closest atoms and distances in Å follow each position.
Space group P2_1/m (No. 11)
Asymmetric unit:
Pa: 0.2386 0.2500 0.0566 x2  6 S 2.74-2.79
Pa: 0.2512 0.2500 0.5661 x2  6 S 2.69-2.79
Co: 0.2376 0.7500 0.8112 x2  4 S 2.15-2.17
S: 0.0181 0.5105 0.2580 x4  1 Co 2.15
S: 0.4208 0.7500 0.1064 x2  1 Co 2.16
S: 0.4274 0.7500 0.6097 x2  1 Co 2.17

***

[2]
Computed, not measured: an optimized crystal structure of LiMgTa at the GGA-PBE level of DFT.

Polymorph energy (0 for the lowest one) in eV per atom: 1.363
D(E_F) in states/eV/cell: 6.6
Raw total energy in eV per formula unit: -11.03
Calculated formation energy in eV/atom: 1.444

a = 6.3808 Å, b = 6.3808 Å, c = 6.3808 Å
α = 90.00°, β = 90.00°, γ = 90.00°
Closest atoms and distances in Å follow each position.
Space group F-43m (No. 216)
Asymmetric unit:
Li: 0.0000 0.0000 0.0000 x4  4 Mg 2.76
Mg: 0.2500 0.2500 0.2500 x4  4 Ta 2.76, 4 Li 2.76
Ta: 0.0000 0.0000 0.5000 x4  4 Mg 2.76

***

[3]
Computed, not measured: an optimized crystal structure of Tb4Al12Cu at the GGA-PBE level of DFT.

D(E_F) in states/eV/cell: 5.4
Raw total energy in eV per formula unit: -74.90
Calculated formation energy in eV/atom: -0.433

a = 8.6550 Å, b = 8.6550 Å, c = 8.6550 Å
α = 90.00°, β = 90.00°, γ = 90.00°
Closest atoms and distances in Å follow each position.
Space group Im-3m (No. 229)
Asymmetric unit:
Tb: 0.2500 0.2500 0.2500 x8  12 Al 3.06-3.08
Al: 0.0000 0.0000 0.2921 x12  1 Cu 2.53, 4 Al 2.81
Al: 0.0000 0.2500 0.5000 x12  8 Al 2.81-3.06, 4 Tb 3.06
Cu: 0.0000 0.0000 0.0000 x2  6 Al 2.53

***

[4]
Computed, not measured: an optimized crystal structure of V5Cr4Fe at the GGA-PBE level of DFT.

D(E_F) in states/eV/cell: 6.6
Raw total energy in eV per formula unit: -93.75
Calculated formation energy in eV/atom: -0.120

a = 2.8974 Å, b = 2.8974 Å, c = 14.5304 Å
α = 90.00°, β = 90.00°, γ = 90.00°
Closest atoms and distances in Å follow each position.
Space group P4/mmm (No. 123)
Asymmetric unit:
V: 0.0000 0.0000 0.0000 x1  8 Cr 2.52
V: 0.0000 0.0000 0.2017 x2  8 Cr 2.52
V: 0.0000 0.0000 0.4001 x2  4 Cr 2.49, 4 Fe 2.51
Cr: 0.5000 0.5000 0.1005 x2  8 V 2.52
Cr: 0.5000 0.5000 0.3023 x2  8 V 2.49-2.52
Fe: 0.5000 0.5000 0.5000 x1  8 V 2.51

***

[5]
Computed, not measured: an optimized crystal structure of Nd3Er6In at the GGA-PBE level of DFT.

D(E_F) in states/eV/cell: 27.5
Raw total energy in eV per formula unit: -44.67
Calculated formation energy in eV/atom: -0.025

a = 12.9567 Å, b = 3.5506 Å, c = 14.4466 Å
α = 90.00°, β = 108.84°, γ = 90.00°
Closest atoms and distances in Å follow each position.
Space group P2_1/m (No. 11)
Asymmetric unit:
Nd: 0.0093 0.2500 0.3954 x2  7 Er 3.29-3.60, 1 In 3.32, 4 Nd 3.55-3.58
Nd: 0.3779 0.2500 0.0016 x2  7 Er 3.37-3.70, 4 Nd 3.55-3.64
Nd: 0.4663 0.2500 0.5925 x2  4 Er 3.26-3.62, 4 Nd 3.55
Er: 0.1355 0.7500 0.0226 x2  3 In 3.31-3.41, 6 Er 3.55-3.59, 2 Nd 3.70
Er: 0.1445 0.2500 0.8112 x2  2 In 3.35, 3 Nd 3.37-3.49, 7 Er 3.48-3.66
Er: 0.2172 0.2500 0.5996 x2  4 Nd 3.26-3.45, 7 Er 3.39-3.62
Er: 0.2496 0.7500 0.3922 x2  6 Er 3.49-3.62, 2 In 3.52, 5 Nd 3.60-3.76
Er: 0.3299 0.2500 0.2186 x2  1 In 3.19, 1 Nd 3.39, 4 Er 3.49-3.55
Er: 0.3826 0.7500 0.7895 x2  7 Er 3.39-3.76, 3 Nd 3.56
In: 0.0759 0.2500 0.1922 x2  8 Er 3.19-3.52, 1 Nd 3.32, 2 In 3.55

***

[6]
Computed, not measured: an optimized crystal structure of DyBePt at the GGA-PBE level of DFT.

Polymorph energy (0 for the lowest one) in eV per atom: 0.000
D(E_F) in states/eV/cell: 3.9
Raw total energy in eV per formula unit: -16.96
Calculated formation energy in eV/atom: -0.865

a = 4.0578 Å, b = 4.0578 Å, c = 7.6319 Å
α = 90.00°, β = 90.00°, γ = 120.00°
Closest atoms and distances in Å follow each position.
Space group P6_3/mmc (No. 194)
Asymmetric unit:
Dy: 0.0000 0.0000 0.0000 x2  6 Be 3.02, 6 Pt 3.02
Be: 0.3333 0.6667 0.2500 x2  3 Pt 2.34
Pt: 0.3333 0.6667 0.7500 x2  3 Be 2.34

***

[7]
Computed, not measured: an optimized crystal structure of AcEuPuSn at the GGA-PBE level of DFT.

D(E_F) in states/eV/cell: 66.7
Raw total energy in eV per formula unit: -32.74
Calculated formation energy in eV/atom: -0.005

a = 7.9929 Å, b = 7.9929 Å, c = 7.9929 Å
α = 90.00°, β = 90.00°, γ = 90.00°
Closest atoms and distances in Å follow each position.
Space group F-43m (No. 216)
Asymmetric unit:
Ac: 0.0000 0.0000 0.0000 x4  4 Pu 3.46, 4 Eu 3.46
Eu: 0.2500 0.2500 0.7500 x4  4 Ac 3.46, 4 Sn 3.46
Pu: 0.2500 0.2500 0.2500 x4  4 Sn 3.46, 4 Ac 3.46
Sn: 0.0000 0.0000 0.5000 x4  4 Pu 3.46, 4 Eu 3.46

***

[8]
Computed, not measured: an optimized crystal structure of B2PC at the GGA-PBE level of DFT.

Polymorph energy (0 for the lowest one) in eV per atom: 0.176
D(E_F) in states/eV/cell: 2.1
Raw total energy in eV per formula unit: -26.98
Calculated formation energy in eV/atom: 0.252

a = 2.7954 Å, b = 7.1778 Å, c = 7.6124 Å
α = 90.00°, β = 90.00°, γ = 90.00°
Closest atoms and distances in Å follow each position.
Space group Fmm2 (No. 42)
Asymmetric unit:
B: 0.0000 0.1684 0.0000 x8  1 C 1.66, 2 B 1.82
P: 0.0000 0.0000 0.2032 x4  2 C 1.79, 2 B 1.96
C: 0.0000 0.0000 0.8500 x4  2 B 1.66, 2 P 1.79